Density functional theory data (GGA-PBE) for an optimized crystal structure of Er3CF3.

As for the density of states at the Fermi level: 6.86 states/eV per cell. The calculation puts the uncorrected formation energy at -2.45 eV/atom.

a b c (Å): 6.2696 6.2696 7.4017
angles (deg): 64.94 64.94 60.00
Sites, in units of the cell vectors:
Er 0.2832 0.5743 0.2123
Er 0.9302 0.2832 0.2123
Er 0.5743 0.9302 0.2123
Er 0.4257 0.0698 0.7877
Er 0.0698 0.7168 0.7877
Er 0.7168 0.4257 0.7877
C 0.3332 0.3332 0.0003
C 0.6668 0.6668 0.9997
F 0.4388 0.8093 0.6177
F 0.8093 0.1341 0.6177
F 0.1341 0.4388 0.6177
F 0.8659 0.5612 0.3823
F 0.1907 0.8659 0.3823
F 0.5612 0.1907 0.3823

Density functional theory data (GGA-PBE) for an optimized crystal structure of Er3C2F.

As for the density of states at the Fermi level: 1.97 states/eV per cell. The calculation puts the uncorrected formation energy at -0.74 eV/atom.

a b c (Å): 3.6171 6.3353 10.5148
angles (deg): 90.00 90.00 106.59
Sites, in units of the cell vectors:
Er 0.6134 0.2268 0.0757
Er 0.0844 0.1688 0.7500
Er 0.6134 0.2268 0.4243
Er 0.9156 0.8312 0.2500
Er 0.3866 0.7732 0.9243
Er 0.3866 0.7732 0.5757
C 0.0000 0.0000 0.0000
C 0.0000 0.0000 0.5000
C 0.5244 0.0489 0.2500
C 0.4756 0.9511 0.7500
F 0.2725 0.5450 0.2500
F 0.7275 0.4550 0.7500

Density functional theory data (GGA-PBE) for an optimized crystal structure of Er4C2F.

As for the density of states at the Fermi level: 3.66 states/eV per cell. The calculation puts the uncorrected formation energy at -1.06 eV/atom.

a b c (Å): 3.5568 6.1654 6.2029
angles (deg): 108.83 90.00 90.00
Sites, in units of the cell vectors:
C 0.0000 0.5000 0.5000
C 0.5000 0.0000 0.5000
F 0.0000 0.0000 0.0000
Er 0.5000 0.2631 0.2785
Er 0.5000 0.7369 0.7215
Er 0.0000 0.2419 0.7241
Er 0.0000 0.7581 0.2759

Density functional theory data (GGA-PBE) for an optimized crystal structure of Er2CF.

The distance to the lowest polymorph of the same formula comes out at 114 meV per atom. As for the density of states at the Fermi level: 2.14 states/eV per cell. The calculation puts the uncorrected formation energy at -1.49 eV/atom.

a b c (Å): 3.4948 3.4948 6.5275
angles (deg): 74.47 74.47 60.00
Sites, in units of the cell vectors:
Er 0.0703 0.0703 0.7890
Er 0.2651 0.2651 0.2047
C 0.6690 0.6690 0.9931
F 0.4956 0.4956 0.5132

Density functional theory data (GGA-PBE) for an optimized crystal structure of Er2CF.

The distance to the lowest polymorph of the same formula comes out at 0 meV per atom. As for the density of states at the Fermi level: 3.34 states/eV per cell. The calculation puts the uncorrected formation energy at -1.60 eV/atom.

a b c (Å): 3.5807 6.2305 6.2894
angles (deg): 90.08 90.00 90.00
Each line ends with the local moment (μB).
Sites, in units of the cell vectors:
Er 0.0000 0.2047 0.3323  0.12
Er 0.5000 0.2180 0.8359  0.12
Er 0.5000 0.7820 0.1641  0.12
Er 0.0000 0.7953 0.6677  0.12
C 0.0000 0.0000 0.0000  0.00
C 0.5000 0.0000 0.5000  0.01
F 0.5000 0.5937 0.8247  0.01
F 0.5000 0.4063 0.1753  0.01

Density functional theory data (GGA-PBE) for an optimized crystal structure of Er2CF.

The distance to the lowest polymorph of the same formula comes out at 37 meV per atom. As for the density of states at the Fermi level: 1.81 states/eV per cell. The calculation puts the uncorrected formation energy at -1.56 eV/atom.

a b c (Å): 3.5501 3.5501 6.1814
angles (deg): 73.31 73.31 60.00
Sites, in units of the cell vectors:
C 0.5000 0.5000 0.5000
F 0.0000 0.0000 0.0000
Er 0.7606 0.7606 0.7182
Er 0.2394 0.2394 0.2818

Density functional theory data (GGA-PBE) for an optimized crystal structure of ErCN2F.

As for the density of states at the Fermi level: 0.00 states/eV per cell. The calculation puts the uncorrected formation energy at -1.67 eV/atom.

a b c (Å): 3.4609 5.4404 6.5283
angles (deg): 95.61 90.00 90.00
Sites, in units of the cell vectors:
Er 0.7500 0.8642 0.2368
Er 0.2500 0.1358 0.7632
C 0.7500 0.6432 0.6657
C 0.2500 0.3568 0.3343
N 0.2500 0.5699 0.2931
N 0.2500 0.1386 0.3783
N 0.7500 0.8614 0.6217
N 0.7500 0.4301 0.7069
F 0.7500 0.1662 0.0086
F 0.2500 0.8338 0.9914

Density functional theory data (GGA-PBE) for an optimized crystal structure of Er3FeC3.

As for the density of states at the Fermi level: 8.31 states/eV per cell. As for the raw total energy: -7.42 eV/atom.

a b c (Å): 5.0086 6.5930 6.5941
angles (deg): 101.01 90.00 90.00
Each line ends with the local moment (μB).
Sites, in units of the cell vectors:
Er 0.7500 0.5922 0.8341  0.01
Er 0.7500 0.1079 0.8920  0.04
Er 0.7500 0.1660 0.4078  0.01
Er 0.2500 0.4078 0.1659  0.01
Er 0.2500 0.8921 0.1080  0.04
Er 0.2500 0.8340 0.5922  0.01
Fe 0.2500 0.3023 0.6977  -0.46
Fe 0.7500 0.6977 0.3023  -0.46
C 0.2500 0.5704 0.8282  0.00
C 0.2500 0.1232 0.8768  0.01
C 0.2500 0.1719 0.4297  0.00
C 0.7500 0.4296 0.1718  0.00
C 0.7500 0.8768 0.1232  0.01
C 0.7500 0.8281 0.5703  0.00